Run one
Dy2CdSb | the Alexandria database | PBE-GGA | relaxed; total magnetization = 0.0 μB per formula unit; Fermi-level density of states = 3.96 states/eV/cell
1.0
2.112 1.220 7.717
-2.112 1.220 7.717
0.000 -2.439 7.717
Dy Cd Sb
2 1 1
direct
0.244 0.244 0.244
0.756 0.756 0.756
0.000 0.000 0.000
0.500 0.500 0.500

=====

Run two
Dy2CdSb | the Alexandria database | PBE-GGA | relaxed; total magnetization = 0.5 μB per formula unit; Fermi-level density of states = 3.13 states/eV/cell
1.0
3.926 0.000 0.000
0.000 3.926 0.000
0.000 0.000 6.860
Dy Cd Sb
2 1 1
direct
0.000 0.000 0.244
0.000 0.000 0.756
0.500 0.500 0.500
0.500 0.500 0.000

=====

The relative energies come out as run one 61; run two 0, with values in meV/atom.

=====

Run one
DyScCd | the Alexandria database | PBE-GGA | relaxed; total magnetization = 0.0 μB per formula unit; Fermi-level density of states = 4.09 states/eV/cell
1.0
1.722 0.994 7.680
-1.722 0.994 7.680
0.000 -1.988 7.680
Dy Sc Cd
1 1 1
direct
0.000 0.000 0.000
0.218 0.218 0.218
0.781 0.781 0.781

=====

Run two
DyScCd | the Alexandria database | PBE-GGA | relaxed; total magnetization = 0.0 μB per formula unit; Fermi-level density of states = 4.16 states/eV/cell
1.0
0.000 3.532 3.532
3.532 0.000 3.532
3.532 3.532 0.000
Dy Sc Cd
1 1 1
direct
0.000 0.000 0.000
0.500 0.500 0.500
0.250 0.250 0.250

=====

The relative energies come out as run one 0; run two 180, with values in meV/atom.